{
  "formula": "Ac3Zr4",
  "functional": "PBE",
  "state": "relaxed",
  "lattice": [[9.831, 0.000, 0.000], [0.000, 5.185, 0.000], [-4.915, 0.000, 8.517]],
  "species": ["Ac", "Ac", "Ac", "Ac", "Ac", "Ac", "Zr", "Zr", "Zr", "Zr", "Zr", "Zr", "Zr", "Zr"],
  "fractional_positions": [[0.148, 0.250, 0.350], [0.152, 0.250, 0.802], [0.300, 0.750, 0.649], [0.700, 0.250, 0.351], [0.848, 0.750, 0.198], [0.852, 0.750, 0.650], [0.118, 0.750, 0.060], [0.334, 0.250, 0.168], [0.440, 0.750, 0.059], [0.441, 0.750, 0.382], [0.559, 0.250, 0.618], [0.560, 0.250, 0.941], [0.666, 0.750, 0.832], [0.882, 0.250, 0.940]],
  "relative_energy_mev_per_atom": 0.0,
  "energy_ev_per_atom": -6.432,
  "spacegroup": "P2_1/m",
  "e_form_ev_per_atom": 0.211
}

---

{
  "formula": "Ag",
  "functional": "PBE",
  "state": "relaxed",
  "lattice": [[4.710, 0.000, 0.000], [0.000, 10.314, 0.000], [0.000, 0.000, 2.987]],
  "species": ["Ag", "Ag", "Ag", "Ag", "Ag", "Ag", "Ag", "Ag"],
  "fractional_positions": [[0.000, 0.132, 0.001], [0.000, 0.368, 0.501], [0.000, 0.632, 0.499], [0.000, 0.868, 0.999], [0.500, 0.132, 0.499], [0.500, 0.368, 0.999], [0.500, 0.632, 0.001], [0.500, 0.868, 0.501]],
  "relative_energy_mev_per_atom": 131.8,
  "energy_ev_per_atom": -2.692,
  "spacegroup": "Cmce",
  "e_form_ev_per_atom": 0.132
}

---

{
  "formula": "Ag",
  "functional": "PBE",
  "state": "relaxed",
  "lattice": [[3.010, 0.000, 0.000], [-1.505, 2.606, 0.000], [0.000, 0.000, 6.593]],
  "species": ["Ag", "Ag", "Ag"],
  "fractional_positions": [[0.000, 0.000, 0.000], [0.333, 0.667, 0.667], [0.667, 0.333, 0.333]],
  "relative_energy_mev_per_atom": 48.2,
  "energy_ev_per_atom": -2.776,
  "spacegroup": "R-3m",
  "e_form_ev_per_atom": 0.048
}

---

{
  "formula": "Ag",
  "functional": "PBE",
  "state": "relaxed",
  "lattice": [[4.708, 0.000, 0.000], [-2.354, 4.077, 0.000], [0.000, 0.000, 2.809]],
  "species": ["Ag", "Ag", "Ag"],
  "fractional_positions": [[0.000, 0.000, 0.000], [0.333, 0.667, 0.500], [0.667, 0.333, 0.500]],
  "relative_energy_mev_per_atom": 63.6,
  "energy_ev_per_atom": -2.761,
  "spacegroup": "P6/mmm",
  "e_form_ev_per_atom": 0.064
}

---

{
  "formula": "Ag",
  "functional": "PBE",
  "state": "relaxed",
  "lattice": [[3.767, 0.000, 0.000], [-1.884, 3.262, 0.000], [0.000, 0.000, 5.422]],
  "species": ["Ag", "Ag", "Ag", "Ag"],
  "fractional_positions": [[0.000, 0.000, 0.250], [0.000, 0.000, 0.750], [0.333, 0.667, 0.250], [0.667, 0.333, 0.750]],
  "relative_energy_mev_per_atom": 2675.7,
  "energy_ev_per_atom": -0.149,
  "spacegroup": "P6_3/mmc",
  "e_form_ev_per_atom": 2.676
}

---

{
  "formula": "Ag",
  "functional": "PBE",
  "state": "relaxed",
  "lattice": [[7.088, 0.000, 0.000], [0.000, 7.088, 0.000], [0.000, 0.000, 7.088]],
  "species": ["Ag", "Ag", "Ag", "Ag", "Ag", "Ag", "Ag", "Ag", "Ag", "Ag", "Ag", "Ag", "Ag", "Ag", "Ag", "Ag", "Ag", "Ag", "Ag", "Ag"],
  "fractional_positions": [[0.051, 0.125, 0.801], [0.057, 0.943, 0.443], [0.125, 0.801, 0.051], [0.193, 0.193, 0.193], [0.199, 0.551, 0.375], [0.301, 0.449, 0.875], [0.307, 0.807, 0.693], [0.375, 0.199, 0.551], [0.443, 0.057, 0.943], [0.449, 0.875, 0.301], [0.551, 0.375, 0.199], [0.557, 0.557, 0.557], [0.625, 0.699, 0.949], [0.693, 0.307, 0.807], [0.699, 0.949, 0.625], [0.801, 0.051, 0.125], [0.807, 0.693, 0.307], [0.875, 0.301, 0.449], [0.943, 0.443, 0.057], [0.949, 0.625, 0.699]],
  "relative_energy_mev_per_atom": 54.3,
  "energy_ev_per_atom": -2.770,
  "spacegroup": "P4_132",
  "e_form_ev_per_atom": 0.054
}

---

{
  "formula": "Ag",
  "functional": "PBE",
  "state": "relaxed",
  "lattice": [[2.889, 0.000, 0.000], [0.000, 2.889, 0.000], [0.000, 0.000, 4.235]],
  "species": ["Ag", "Ag"],
  "fractional_positions": [[0.000, 0.000, 0.000], [0.500, 0.500, 0.500]],
  "relative_energy_mev_per_atom": 0.0,
  "energy_ev_per_atom": -2.824,
  "spacegroup": "I4/mmm",
  "e_form_ev_per_atom": 0.000
}

---

{
  "formula": "Ag",
  "functional": "PBE",
  "state": "relaxed",
  "lattice": [[2.935, 0.000, 0.000], [0.000, 5.034, 0.000], [0.000, 0.000, 4.801]],
  "species": ["Ag", "Ag", "Ag", "Ag"],
  "fractional_positions": [[0.000, 0.165, 0.250], [0.000, 0.835, 0.750], [0.500, 0.335, 0.750], [0.500, 0.665, 0.250]],
  "relative_energy_mev_per_atom": 2.0,
  "energy_ev_per_atom": -2.822,
  "spacegroup": "Cmcm",
  "e_form_ev_per_atom": 0.002
}

---

{
  "formula": "Ag",
  "functional": "PBE",
  "state": "relaxed",
  "lattice": [[2.858, 0.000, 0.000], [0.000, 2.858, 0.000], [0.000, 0.000, 43.617]],
  "species": ["Ag", "Ag", "Ag", "Ag", "Ag", "Ag", "Ag", "Ag", "Ag", "Ag", "Ag", "Ag", "Ag", "Ag", "Ag", "Ag"],
  "fractional_positions": [[0.250, 0.250, 0.025], [0.250, 0.250, 0.124], [0.250, 0.250, 0.222], [0.250, 0.250, 0.321], [0.250, 0.250, 0.630], [0.250, 0.250, 0.728], [0.250, 0.250, 0.827], [0.250, 0.250, 0.926], [0.750, 0.750, 0.074], [0.750, 0.750, 0.173], [0.750, 0.750, 0.272], [0.750, 0.750, 0.370], [0.750, 0.750, 0.679], [0.750, 0.750, 0.778], [0.750, 0.750, 0.876], [0.750, 0.750, 0.975]],
  "relative_energy_mev_per_atom": 56.4,
  "energy_ev_per_atom": -2.768,
  "spacegroup": "P4/nmm",
  "e_form_ev_per_atom": 0.056
}

---

{
  "formula": "Ag",
  "functional": "PBE",
  "state": "relaxed",
  "lattice": [[4.163, 0.000, 0.000], [0.000, 8.792, 0.000], [0.000, 0.000, 4.163]],
  "species": ["Ag", "Ag", "Ag", "Ag", "Ag", "Ag", "Ag", "Ag"],
  "fractional_positions": [[0.000, 0.146, 0.003], [0.000, 0.354, 0.503], [0.000, 0.646, 0.497], [0.000, 0.854, 0.997], [0.500, 0.146, 0.497], [0.500, 0.354, 0.997], [0.500, 0.646, 0.003], [0.500, 0.854, 0.503]],
  "relative_energy_mev_per_atom": 289.3,
  "energy_ev_per_atom": -2.535,
  "spacegroup": "Cmce",
  "e_form_ev_per_atom": 0.289
}

---

{
  "formula": "Ag",
  "functional": "PBE",
  "state": "relaxed",
  "lattice": [[2.891, 0.000, 0.000], [-1.446, 2.504, 0.000], [0.000, 0.000, 29.172]],
  "species": ["Ag", "Ag", "Ag", "Ag", "Ag", "Ag", "Ag", "Ag", "Ag", "Ag", "Ag", "Ag"],
  "fractional_positions": [[0.000, 0.000, 0.125], [0.000, 0.000, 0.375], [0.000, 0.000, 0.625], [0.000, 0.000, 0.875], [0.333, 0.667, 0.042], [0.333, 0.667, 0.292], [0.333, 0.667, 0.542], [0.333, 0.667, 0.792], [0.667, 0.333, 0.208], [0.667, 0.333, 0.458], [0.667, 0.333, 0.708], [0.667, 0.333, 0.958]],
  "relative_energy_mev_per_atom": 1.8,
  "energy_ev_per_atom": -2.823,
  "spacegroup": "R-3m",
  "e_form_ev_per_atom": 0.002
}

---

{
  "formula": "Ag",
  "functional": "PBE",
  "state": "relaxed",
  "lattice": [[2.914, 0.000, 0.000], [-1.457, 2.524, 0.000], [0.000, 0.000, 4.781]],
  "species": ["Ag", "Ag"],
  "fractional_positions": [[0.333, 0.667, 0.250], [0.667, 0.333, 0.750]],
  "relative_energy_mev_per_atom": 3.9,
  "energy_ev_per_atom": -2.820,
  "spacegroup": "P6_3/mmc",
  "e_form_ev_per_atom": 0.004
}